{
  "formula": "Ho2NbAg",
  "functional": "PBE",
  "state": "optimized geometry",
  "de_polymorph_kj_per_mol_fu": 0,
  "crystal_system": "tetragonal",
  "e_form_ev_per_atom": 0.016,
  "volume_a3_per_fu": 94,
  "cell": [[3.338, 0.000, 0.000], [0.000, 3.338, 0.000], [0.000, 0.000, 8.435]],
  "species": ["Ho", "Ho", "Nb", "Ag"],
  "frac_coords": [[0.000, 0.000, 0.247], [0.000, 0.000, 0.753], [0.500, 0.500, 0.500], [0.500, 0.500, 0.000]]
}